Here is an optimized crystal structure of LiDyInGa from the Alexandria database. Energies are from PBE.

a = 7.046 Å, b = 7.046 Å, c = 7.046 Å
α = 90.00°, β = 90.00°, γ = 90.00°
Space group F-43m (No. 216)
Inequivalent atoms, fractional coordinates:
Li (0.000, 0.000, 0.000)
Dy (0.000, 0.000, 0.500)
In (0.250, 0.250, 0.750)
Ga (0.250, 0.250, 0.250)

Here is an optimized crystal structure of DyMgInGa from the Alexandria database. Energies are from PBE.

a = 4.373 Å, b = 4.446 Å, c = 4.593 Å
α = 90.00°, β = 90.00°, γ = 90.00°
Space group Pmmm (No. 47)
Inequivalent atoms, fractional coordinates:
Dy (0.000, 0.000, 0.000)
Mg (0.000, 0.500, 0.500)
In (0.500, 0.000, 0.500)
Ga (0.500, 0.500, 0.000)

Properties
Its excess energy over the best structure of this formula in the dataset is 0 meV/atom.

| no. | energy relative to the elements (eV/atom) |
| --- | --- |
| 1 | -0.40 |
| 2 | -0.41 |